Entry 1:
Computed, not measured: a relaxed structure of TlCr2As at the PBE level of DFT.

Cell and atoms, written as CIF:
```
data_TlCr2As
_cell_length_a 3.061
_cell_length_b 3.055
_cell_length_c 6.962
_cell_angle_alpha 90.00
_cell_angle_beta 90.17
_cell_angle_gamma 90.00
_space_group_name_H-M_alt 'P 1 2/m 1'
_space_group_IT_number 10
_space_group_name_Hall '-P 2y'
loop_
_atom_site_label
_atom_site_type_symbol
_atom_site_fract_x
_atom_site_fract_y
_atom_site_fract_z
Tl1 Tl 0.000 0.000 0.000
Cr1 Cr 0.499 0.500 0.307
As1 As 0.000 0.000 0.500
```

- Formation energy: 161 kJ/mol of formula units
- Relative energy among the computed polymorphs: 157.9 meV per atom
- D(E_F): 1.1576 states/eV per atom


Entry 2:
Computed, not measured: a relaxed structure of PuB3 at the PBE level of DFT.

Cell and atoms, written as CIF:
```
data_PuB3
_cell_length_a 3.294
_cell_length_b 7.811
_cell_length_c 3.719
_cell_angle_alpha 90.00
_cell_angle_beta 90.00
_cell_angle_gamma 90.00
_space_group_name_H-M_alt 'C m m m'
_space_group_IT_number 65
_space_group_name_Hall '-C 2 2'
loop_
_atom_site_label
_atom_site_type_symbol
_atom_site_fract_x
_atom_site_fract_y
_atom_site_fract_z
Pu1 Pu 0.000 0.000 0.000
B1 B 0.000 0.294 0.500
B2 B 0.000 0.500 0.500
```

- Formation energy: -34 kJ/mol of formula units
- D(E_F): 1.7162 states/eV per atom


Entry 3:
Computed, not measured: a relaxed structure of BaZr2Sb at the PBE level of DFT.

Cell and atoms, written as CIF:
```
data_BaZr2Sb
_cell_length_a 3.8712
_cell_length_b 3.8712
_cell_length_c 28.9454
_cell_angle_alpha 90.00
_cell_angle_beta 90.00
_cell_angle_gamma 120.00
_space_group_name_H-M_alt 'R -3 m'
_space_group_IT_number 166
_space_group_name_Hall '-R 3 2"'
loop_
_atom_site_label
_atom_site_type_symbol
_atom_site_fract_x
_atom_site_fract_y
_atom_site_fract_z
Ba1 Ba 0.0000 0.0000 0.0000
Zr1 Zr 0.0000 0.0000 0.2282
Sb1 Sb 0.0000 0.0000 0.5000
```

- Uncorrected formation energy: 165 meV/atom
- D(E_F): 1.5618 states/eV per atom


Entry 4:
Computed, not measured: a relaxed structure of LaCuRe2 at the PBE level of DFT.

Cell and atoms, written as CIF:
```
data_LaCuRe2
_cell_length_a 3.921
_cell_length_b 3.921
_cell_length_c 4.797
_cell_angle_alpha 90.00
_cell_angle_beta 90.00
_cell_angle_gamma 90.00
_space_group_name_H-M_alt 'P 4/m m m'
_space_group_IT_number 123
_space_group_name_Hall '-P 4 2'
loop_
_atom_site_label
_atom_site_type_symbol
_atom_site_fract_x
_atom_site_fract_y
_atom_site_fract_z
La1 La 0.000 0.000 0.000
Cu1 Cu 0.500 0.500 0.000
Re1 Re 0.000 0.500 0.500
```

- Formation energy: 274 kJ/mol of formula units
- Relative energy among the computed polymorphs: 590.1 meV per atom
- D(E_F): 0.9648 states/eV per atom